VASP calculation (PBE-GGA) on SrHN after structural relaxation.

Cell and atoms, written as extended XYZ:
```
6
Lattice="8.475 0.000 0.000 2.448 3.345 0.000 -2.448 0.732 3.264" Properties=species:S:1:pos:R:3 pbc="T T T"
H 2.730 2.653 0.864
H 7.991 3.214 0.163
N 7.210 2.782 0.703
N 3.524 3.076 0.335
Sr 5.350 1.789 1.943
Sr 0.487 1.457 2.358
```

Uncorrected energy, eV/cell: -30.92